(1)
First-principles (SCAN) data for a PBEsol-optimized structure of Ca2Al4Si6O21, as listed in Alexandria via LeMat-Bulk.

a = 6.486 Å, b = 9.209 Å, c = 17.235 Å
α = 90.00°, β = 90.00°, γ = 109.13°
Atoms (fractional coordinates):
Ca  0.393  0.026  0.609
Ca  0.893  0.526  0.391
Ca  0.376  0.380  0.876
Ca  0.876  0.880  0.124
Al  0.876  0.234  0.848
Al  0.376  0.734  0.152
Al  0.004  0.732  0.666
Al  0.504  0.232  0.334
Al  0.812  0.341  0.594
Al  0.312  0.841  0.406
Al  0.706  0.817  0.899
Al  0.206  0.317  0.101
Si  0.505  0.488  0.644
Si  0.005  0.988  0.356
Si  0.423  0.050  0.879
Si  0.923  0.550  0.121
Si  0.013  0.978  0.771
Si  0.513  0.478  0.229
Si  0.128  0.484  0.739
Si  0.628  0.984  0.261
Si  0.063  0.067  0.983
Si  0.563  0.567  0.017
Si  0.193  0.608  0.534
Si  0.693  0.108  0.466
O  0.609  0.223  0.872
O  0.109  0.723  0.128
O  0.738  0.620  0.649
O  0.238  0.120  0.351
O  0.537  0.324  0.619
O  0.037  0.824  0.381
O  0.528  0.916  0.876
O  0.028  0.416  0.124
O  0.260  0.062  0.808
O  0.760  0.562  0.192
O  0.377  0.467  0.729
O  0.877  0.967  0.271
O  0.295  0.045  0.961
O  0.795  0.545  0.039
O  0.357  0.533  0.577
O  0.857  0.033  0.423
O  0.864  0.904  0.983
O  0.364  0.404  0.017
O  0.948  0.480  0.523
O  0.448  0.980  0.477
O  0.895  0.111  0.771
O  0.395  0.611  0.229
O  0.140  0.660  0.735
O  0.640  0.160  0.265
O  0.027  0.193  0.924
O  0.527  0.693  0.076
O  0.176  0.757  0.582
O  0.676  0.257  0.418
O  0.882  0.830  0.822
O  0.382  0.330  0.178
O  0.968  0.376  0.676
O  0.468  0.876  0.324
O  0.064  0.415  0.826
O  0.564  0.915  0.174
O  0.064  0.932  0.683
O  0.564  0.432  0.317
O  0.075  0.122  0.074
O  0.575  0.622  0.926
O  0.761  0.155  0.556
O  0.261  0.655  0.444
O  0.634  0.961  0.701
O  0.134  0.461  0.299

Results
M_tot in μB/f.u.: 2.11
Formation energy (no corrections) in meV/atom: -2994
E_tot in eV per cell: -680.2
Symmetry: Pc
Crystal system: monoclinic

(2)
First-principles (SCAN) data for a PBEsol-optimized structure of CaY2Ta, as listed in Alexandria via LeMat-Bulk.

a = 3.269 Å, b = 5.802 Å, c = 5.802 Å
α = 108.31°, β = 90.00°, γ = 90.00°
Atoms (fractional coordinates):
Y  0.000  0.500  0.000
Y  0.000  0.000  0.500
Ca  0.500  0.000  0.000
Ta  0.500  0.500  0.500

Results
M_tot in μB/f.u.: 0.02
E_tot in eV per cell: -129.6
Symmetry: Cmmm
Crystal system: orthorhombic

(3)
First-principles (SCAN) data for a PBEsol-optimized structure of ZrCl3, as listed in Alexandria via LeMat-Bulk.

a = 5.966 Å, b = 6.462 Å, c = 6.462 Å
α = 120.00°, β = 90.00°, γ = 90.00°
Atoms (fractional coordinates):
Zr  0.000  0.000  0.000
Zr  0.500  0.000  0.000
Cl  0.750  0.684  0.684
Cl  0.750  0.000  0.316
Cl  0.750  0.316  0.000
Cl  0.250  0.316  0.316
Cl  0.250  0.000  0.684
Cl  0.250  0.684  0.000

Results
M_tot in μB/f.u.: 0.00
Formation energy (no corrections) in meV/atom: -1966
E_tot in eV per cell: -125.0
Symmetry: P6_3/mcm
Crystal system: hexagonal

(4)
First-principles (SCAN) data for a PBEsol-optimized structure of CeYNi4, as listed in Alexandria via LeMat-Bulk.

a = 4.994 Å, b = 4.994 Å, c = 4.994 Å
α = 60.00°, β = 60.00°, γ = 60.00°
Atoms (fractional coordinates):
Ce  0.750  0.750  0.750
Y  0.000  0.000  0.000
Ni  0.875  0.375  0.375
Ni  0.375  0.375  0.375
Ni  0.375  0.875  0.375
Ni  0.375  0.375  0.875

Results
M_tot in μB/f.u.: 0.02
E_tot in eV per cell: -139.3
Symmetry: F-43m
Crystal system: cubic

(5)
First-principles (SCAN) data for a PBEsol-optimized structure of ZnIn2Sn2, as listed in Alexandria via LeMat-Bulk.

a = 4.988 Å, b = 4.988 Å, c = 6.772 Å
α = 111.61°, β = 111.61°, γ = 90.00°
Atoms (fractional coordinates):
Zn  0.000  0.000  0.000
Sn  0.381  0.381  0.763
Sn  0.619  0.619  0.237
In  0.250  0.750  0.500
In  0.750  0.250  0.500

Results
M_tot in μB/f.u.: 0.00
E_tot in eV per cell: -150.8
Symmetry: I4/mmm
Crystal system: tetragonal

(6)
First-principles (SCAN) data for a PBEsol-optimized structure of Sc2CoPb, as listed in Alexandria via LeMat-Bulk.

a = 3.152 Å, b = 3.152 Å, c = 7.706 Å
α = 90.00°, β = 90.00°, γ = 90.00°
Atoms (fractional coordinates):
Pb  0.500  0.500  0.000
Sc  0.000  0.000  0.306
Sc  0.000  0.000  0.694
Co  0.500  0.500  0.500

Results
M_tot in μB/f.u.: 0.76
E_tot in eV per cell: -123.3
Symmetry: P4/mmm
Crystal system: tetragonal

(7)
First-principles (SCAN) data for a PBEsol-optimized structure of Li2ZrCr, as listed in Alexandria via LeMat-Bulk.

a = 2.628 Å, b = 2.628 Å, c = 9.483 Å
α = 90.00°, β = 90.00°, γ = 90.00°
Atoms (fractional coordinates):
Cr  0.500  0.500  0.500
Li  0.000  0.000  0.724
Li  0.000  0.000  0.276
Zr  0.500  0.500  0.000

Results
M_tot in μB/f.u.: 4.20
E_tot in eV per cell: -51.6
Symmetry: P4/mmm
Crystal system: tetragonal

(8)
First-principles (SCAN) data for a PBEsol-optimized structure of BeGa3Ni, as listed in Alexandria via LeMat-Bulk.

a = 4.462 Å, b = 4.462 Å, c = 4.462 Å
α = 90.00°, β = 90.00°, γ = 90.00°
Atoms (fractional coordinates):
Ni  0.000  0.000  0.000
Ga  0.000  0.500  0.000
Ga  0.000  0.000  0.500
Ga  0.500  0.000  0.000
Be  0.500  0.500  0.500

Results
M_tot in μB/f.u.: 0.00
E_tot in eV per cell: -67.8
Symmetry: Pm-3m
Crystal system: cubic

(9)
First-principles (SCAN) data for a PBEsol-optimized structure of NiPbIN2, as listed in Alexandria via LeMat-Bulk.

a = 4.171 Å, b = 4.171 Å, c = 6.604 Å
α = 90.00°, β = 90.00°, γ = 90.00°
Atoms (fractional coordinates):
Pb  0.000  0.000  0.000
I  0.000  0.000  0.500
N  0.000  0.500  0.000
N  0.500  0.000  0.000
Ni  0.500  0.500  0.500

Results
M_tot in μB/f.u.: 3.28
Formation energy (no corrections) in meV/atom: 1848
E_tot in eV per cell: -138.0
Symmetry: P4/mmm
Crystal system: tetragonal

(10)
First-principles (SCAN) data for a PBEsol-optimized structure of Y2AsBr, as listed in Alexandria via LeMat-Bulk.

a = 4.047 Å, b = 4.047 Å, c = 5.712 Å
α = 90.00°, β = 90.00°, γ = 90.00°
Atoms (fractional coordinates):
Y  0.000  0.000  0.875
Y  0.500  0.500  0.375
As  0.000  0.000  0.375
Br  0.500  0.500  0.875

Results
M_tot in μB/f.u.: 0.00
Formation energy (no corrections) in meV/atom: -1412
E_tot in eV per cell: -101.0
Symmetry: P4/mmm
Crystal system: tetragonal

(11)
First-principles (SCAN) data for a PBEsol-optimized structure of ReIrRh, as listed in Alexandria via LeMat-Bulk.

a = 4.132 Å, b = 4.132 Å, c = 4.132 Å
α = 60.00°, β = 60.00°, γ = 60.00°
Atoms (fractional coordinates):
Ir  0.500  0.500  0.500
Re  0.250  0.250  0.250
Rh  0.000  0.000  0.000

Results
M_tot in μB/f.u.: 0.00
E_tot in eV per cell: -175.1
Symmetry: F-43m
Crystal system: cubic

(12)
First-principles (SCAN) data for a PBEsol-optimized structure of Zr2MnCr, as listed in Alexandria via LeMat-Bulk.

a = 3.699 Å, b = 3.699 Å, c = 5.448 Å
α = 109.85°, β = 109.85°, γ = 90.00°
Atoms (fractional coordinates):
Cr  0.500  0.500  0.000
Mn  0.250  0.750  0.500
Zr  0.000  0.000  0.000
Zr  0.750  0.250  0.500

Results
M_tot in μB/f.u.: 0.38
E_tot in eV per cell: -97.3
Symmetry: I-4m2
Crystal system: tetragonal

(13)
First-principles (SCAN) data for a PBEsol-optimized structure of AlCdFe2, as listed in Alexandria via LeMat-Bulk.

a = 2.727 Å, b = 2.727 Å, c = 8.780 Å
α = 81.06°, β = 81.06°, γ = 60.00°
Atoms (fractional coordinates):
Al  0.500  0.500  0.500
Fe  0.244  0.244  0.267
Fe  0.756  0.756  0.733
Cd  0.000  0.000  0.000

Results
M_tot in μB/f.u.: 4.98
E_tot in eV per cell: -74.1
Symmetry: R-3m
Crystal system: trigonal

(14)
First-principles (SCAN) data for a PBEsol-optimized structure of KCo2As, as listed in Alexandria via LeMat-Bulk.

a = 4.505 Å, b = 4.505 Å, c = 4.504 Å
α = 120.01°, β = 120.01°, γ = 90.00°
Atoms (fractional coordinates):
As  0.250  0.750  0.500
Co  0.000  0.000  0.000
Co  0.750  0.250  0.500
K  0.500  0.500  0.000

Results
M_tot in μB/f.u.: 4.29
E_tot in eV per cell: -60.0
Symmetry: F-43m
Crystal system: cubic

(15)
First-principles (SCAN) data for a PBEsol-optimized structure of K2BeCu, as listed in Alexandria via LeMat-Bulk.

a = 4.214 Å, b = 5.794 Å, c = 5.973 Å
α = 119.01°, β = 110.65°, γ = 90.00°
Atoms (fractional coordinates):
Be  0.601  0.601  0.202
K  0.966  0.966  0.931
K  0.787  0.287  0.574
Cu  0.146  0.646  0.293

Results
M_tot in μB/f.u.: 0.00
E_tot in eV per cell: -34.2
Symmetry: Imm2
Crystal system: orthorhombic

(16)
First-principles (SCAN) data for a PBEsol-optimized structure of LiAlSeN2, as listed in Alexandria via LeMat-Bulk.

a = 3.639 Å, b = 3.639 Å, c = 4.720 Å
α = 90.00°, β = 90.00°, γ = 90.00°
Atoms (fractional coordinates):
N  0.000  0.500  0.000
N  0.500  0.000  0.000
Al  0.500  0.500  0.500
Se  0.000  0.000  0.500
Li  0.000  0.000  0.000

Results
M_tot in μB/f.u.: 3.92
Formation energy (no corrections) in meV/atom: 1336
E_tot in eV per cell: -42.1
Symmetry: P4/mmm
Crystal system: tetragonal

(17)
First-principles (SCAN) data for a PBEsol-optimized structure of BaTl2Ag2, as listed in Alexandria via LeMat-Bulk.

a = 5.139 Å, b = 5.139 Å, c = 6.340 Å
α = 113.91°, β = 113.91°, γ = 90.00°
Atoms (fractional coordinates):
Tl  0.360  0.360  0.720
Tl  0.640  0.640  0.280
Ba  0.000  0.000  0.000
Ag  0.250  0.750  0.500
Ag  0.750  0.250  0.500

Results
M_tot in μB/f.u.: 0.00
E_tot in eV per cell: -248.2
Symmetry: I4/mmm
Crystal system: tetragonal

(18)
First-principles (SCAN) data for a PBEsol-optimized structure of BaZnSbPt2, as listed in Alexandria via LeMat-Bulk.

a = 4.752 Å, b = 4.752 Å, c = 5.483 Å
α = 90.00°, β = 90.00°, γ = 90.00°
Atoms (fractional coordinates):
Sb  0.500  0.500  0.500
Zn  0.000  0.000  0.000
Ba  0.000  0.000  0.500
Pt  0.000  0.500  0.000
Pt  0.500  0.000  0.000

Results
M_tot in μB/f.u.: 0.00
Formation energy (no corrections) in meV/atom: 250
E_tot in eV per cell: -229.5
Symmetry: P4/mmm
Crystal system: tetragonal

(19)
First-principles (SCAN) data for a PBEsol-optimized structure of TaTcPt, as listed in Alexandria via LeMat-Bulk.

a = 2.699 Å, b = 4.003 Å, c = 4.916 Å
α = 114.03°, β = 105.93°, γ = 90.00°
Atoms (fractional coordinates):
Pt  0.997  0.997  0.994
Ta  0.669  0.669  0.338
Tc  0.334  0.334  0.669

Results
M_tot in μB/f.u.: 0.00
E_tot in eV per cell: -172.8
Symmetry: Imm2
Crystal system: orthorhombic

(20)
First-principles (SCAN) data for a PBEsol-optimized structure of LaAlIr2, as listed in Alexandria via LeMat-Bulk.

a = 3.122 Å, b = 4.317 Å, c = 5.669 Å
α = 90.00°, β = 105.16°, γ = 90.00°
Atoms (fractional coordinates):
Ir  0.795  0.000  0.937
Ir  0.934  0.500  0.254
Al  0.250  0.500  0.866
La  0.521  0.000  0.443

Results
M_tot in μB/f.u.: 0.00
E_tot in eV per cell: -195.1
Symmetry: Pm
Crystal system: monoclinic

(21)
First-principles (SCAN) data for a PBEsol-optimized structure of Y2ZnNi, as listed in Alexandria via LeMat-Bulk.

a = 3.702 Å, b = 4.345 Å, c = 5.519 Å
α = 90.00°, β = 109.85°, γ = 90.00°
Atoms (fractional coordinates):
Y  0.018  0.000  0.909
Y  0.736  0.500  0.348
Ni  0.441  0.500  0.756
Zn  0.305  0.000  0.486

Results
M_tot in μB/f.u.: 0.00
E_tot in eV per cell: -87.0
Symmetry: Pm
Crystal system: monoclinic

(22)
First-principles (SCAN) data for a PBEsol-optimized structure of Zr2NiRh, as listed in Alexandria via LeMat-Bulk.

a = 3.195 Å, b = 3.191 Å, c = 6.482 Å
α = 90.00°, β = 90.00°, γ = 90.00°
Atoms (fractional coordinates):
Ni  0.500  0.500  0.500
Rh  0.500  0.500  0.000
Zr  0.000  0.000  0.257
Zr  0.000  0.000  0.743

Results
M_tot in μB/f.u.: 0.00
E_tot in eV per cell: -113.9
Symmetry: P4/mmm
Crystal system: tetragonal

(23)
First-principles (SCAN) data for a PBEsol-optimized structure of Sc2SiNi, as listed in Alexandria via LeMat-Bulk.

a = 3.139 Å, b = 4.299 Å, c = 5.535 Å
α = 112.85°, β = 106.48°, γ = 90.00°
Atoms (fractional coordinates):
Ni  0.225  0.725  0.450
Sc  0.973  0.973  0.947
Sc  0.754  0.254  0.507
Si  0.548  0.548  0.096

Results
M_tot in μB/f.u.: 0.00
Formation energy (no corrections) in meV/atom: -567
E_tot in eV per cell: -56.9
Symmetry: Imm2
Crystal system: orthorhombic

(24)
First-principles (SCAN) data for a PBEsol-optimized structure of Sr4CdW, as listed in Alexandria via LeMat-Bulk.

a = 6.634 Å, b = 6.634 Å, c = 6.634 Å
α = 60.00°, β = 60.00°, γ = 60.00°
Atoms (fractional coordinates):
Cd  0.000  0.000  0.000
Sr  0.376  0.376  0.376
Sr  0.376  0.376  0.873
Sr  0.873  0.376  0.376
Sr  0.376  0.873  0.376
W  0.750  0.750  0.750

Results
M_tot in μB/f.u.: 3.91
E_tot in eV per cell: -181.5
Symmetry: F-43m
Crystal system: cubic

(25)
First-principles (SCAN) data for a PBEsol-optimized structure of TlCdPb3, as listed in Alexandria via LeMat-Bulk.

a = 5.584 Å, b = 5.584 Å, c = 5.584 Å
α = 90.00°, β = 90.00°, γ = 90.00°
Atoms (fractional coordinates):
Pb  0.000  0.500  0.000
Pb  0.000  0.000  0.500
Pb  0.500  0.000  0.000
Tl  0.500  0.500  0.500
Cd  0.000  0.000  0.000

Results
M_tot in μB/f.u.: 0.00
E_tot in eV per cell: -328.2
Symmetry: Pm-3m
Crystal system: cubic

(26)
First-principles (SCAN) data for a PBEsol-optimized structure of La3In, as listed in Alexandria via LeMat-Bulk.

a = 3.626 Å, b = 6.086 Å, c = 6.644 Å
α = 117.26°, β = 105.84°, γ = 90.00°
Atoms (fractional coordinates):
In  0.000  0.988  0.000
La  0.500  0.523  0.000
La  0.271  0.932  0.543
La  0.729  0.390  0.457

Results
M_tot in μB/f.u.: 0.00
E_tot in eV per cell: -164.1
Symmetry: Imm2
Crystal system: orthorhombic